(1)
A relaxed structure of LaBe2Sb4, computed with PBE.

abc: 5.9611 5.9611 7.7642
angles: 67.43 67.43 90.00
Element x y z (fractional)
1 Be 0.5780 0.5780 0.8440
2 Sb 0.2442 0.2442 0.5116
3 La 0.0000 0.0000 0.0000
4 Sb 0.0000 0.5000 0.0000
5 Be 0.4220 0.4220 0.1560
6 Sb 0.7558 0.7558 0.4884
7 Sb 0.5000 0.0000 0.0000

Results
density of states at the Fermi level: 0.997 states/eV per atom
space group: I4/mmm, No. 139
crystal system: tetragonal
VASP energy: -24.919 eV for the cell shown
M_tot: 0.0 μB/f.u.

***

(2)
A relaxed structure of NaGeH3, computed with PBE.

abc: 4.8045 6.9110 4.3744
angles: 89.95 92.31 90.18
Element x y z (fractional)
1 H 0.0999 0.3660 0.1306
2 H 0.3841 0.5384 0.6515
3 H 0.0971 0.0384 0.1299
4 H 0.3868 0.8660 0.6516
5 H 0.5709 0.7021 0.2434
6 Na 0.3941 0.2022 0.6896
7 Na 0.0913 0.7020 0.0918
8 Ge 0.8642 0.2026 0.1710
9 Ge 0.6201 0.7018 0.6121
10 H 0.9150 0.2022 0.5396

Results
density of states at the Fermi level: 0.000 states/eV per atom
space group: P-1, No. 2
crystal system: triclinic
offset from the most stable computed form: 2 meV per atom
M_tot: 0.0 μB/f.u.

***

(3)
A relaxed structure of HgBi2PtO6, computed with PBE.

abc: 5.9327 5.9329 6.0207
angles: 60.48 60.48 59.99
Element x y z (fractional)
1 Pt 0.3245 0.3244 0.0267
2 Bi 0.5355 0.5355 0.3935
3 O 0.6697 0.1497 0.7578
4 O 0.1498 0.4229 0.7577
5 O 0.9815 0.5808 0.2376
6 O 0.5808 0.2001 0.2376
7 Bi 0.0151 0.0151 0.9547
8 O 0.4228 0.6696 0.7577
9 O 0.2001 0.9815 0.2376
10 Hg 0.7818 0.7819 0.6544

Results
space group: R3, No. 146
crystal system: trigonal
VASP energy: -51.660 eV for the cell shown
M_tot: 0.0 μB/f.u.

***

(4)
A relaxed structure of Ac3Tb2SmS6, computed with PBE.

abc: 7.0560 7.0560 7.3254
angles: 99.26 99.26 120.12
Element x y z (fractional)
1 S 0.4123 0.0743 0.2234
2 Tb 0.3333 0.6667 0.0000
3 S 0.9257 0.5877 0.7766
4 Sm 0.0000 0.0000 0.0000
5 S 0.5877 0.9257 0.7766
6 S 0.2642 0.2642 0.7781
7 Ac 0.1652 0.8348 0.5000
8 Ac 0.5000 0.5000 0.5000
9 S 0.7358 0.7358 0.2219
10 S 0.0743 0.4123 0.2234
11 Ac 0.8348 0.1652 0.5000
12 Tb 0.6667 0.3333 0.0000

Results
density of states at the Fermi level: 0.444 states/eV per atom
space group: C2/m, No. 12
crystal system: monoclinic
VASP energy: -75.078 eV for the cell shown
M_tot: 0.0 μB/f.u.

***

(5)
A relaxed structure of Zn3NiPt2, computed with PBE.

abc: 2.8477 2.8477 10.2370
angles: 90.00 90.00 90.00
Element x y z (fractional)
1 Pt 0.5000 0.5000 0.1761
2 Zn 0.0000 0.0000 0.0000
3 Pt 0.5000 0.5000 0.8239
4 Ni 0.5000 0.5000 0.5000
5 Zn 0.0000 0.0000 0.6505
6 Zn 0.0000 0.0000 0.3495

Results
density of states at the Fermi level: 0.221 states/eV per atom
space group: P4/mmm, No. 123
crystal system: tetragonal
offset from the most stable computed form: 0 meV per atom
formation energy: -262 kJ/mol of formula units
M_tot: 0.0 μB/f.u.

***

(6)
A relaxed structure of HfTaTi2C, computed with PBE.

abc: 4.2735 4.2735 4.4076
angles: 90.00 90.00 90.00
Element x y z (fractional)
1 Hf 0.5000 0.5000 0.5000
2 Ti 0.5000 0.0000 0.0000
3 Ti 0.0000 0.5000 0.0000
4 Ta 0.0000 0.0000 0.5000
5 C 0.0000 0.0000 0.0000

Results
density of states at the Fermi level: 1.046 states/eV per atom
space group: P4/mmm, No. 123
crystal system: tetragonal
formation energy: -125 kJ/mol of formula units
M_tot: 0.0 μB/f.u.

***

(7)
A relaxed structure of TbCeSe2, computed with PBE.

abc: 5.8691 5.8697 11.7267
angles: 89.98 90.00 90.00
Each line ends with the local moment (μB).
Element x y z (fractional)
1 Tb 0.7505 0.0001 0.1250  0.03
2 Tb 0.7505 0.4999 0.3750  0.03
3 Ce 0.7497 0.5001 0.8750  0.76
4 Ce 0.2503 0.4999 0.1250  0.76
5 Se 0.2497 0.0001 0.6283  -0.01
6 Ce 0.7497 0.9999 0.6250  0.76
7 Se 0.7496 0.4999 0.6217  -0.01
8 Se 0.7496 0.0001 0.8783  -0.01
9 Tb 0.2495 0.5001 0.6250  0.03
10 Tb 0.2495 0.9999 0.8750  0.03
11 Se 0.7503 0.5001 0.1283  -0.01
12 Se 0.7503 0.9999 0.3717  -0.01
13 Se 0.2504 0.9999 0.1217  -0.01
14 Ce 0.2503 0.0001 0.3750  0.76
15 Se 0.2497 0.4999 0.8717  -0.01
16 Se 0.2504 0.5001 0.3783  -0.01

Results
density of states at the Fermi level: 1.568 states/eV per atom
space group: Pmna, No. 53
crystal system: orthorhombic
offset from the most stable computed form: 7 meV per atom
M_tot: 1.0 μB/f.u.

***

(8)
A relaxed structure of K4Th3CdTe8, computed with PBE.

abc: 9.2256 9.7501 9.2258
angles: 118.24 120.00 90.00
Element x y z (fractional)
1 K 0.5000 0.0000 0.0000
2 K 0.0000 0.0000 0.0000
3 Te 0.7342 0.7089 0.9716
4 Te 0.7394 0.7181 0.4787
5 Te 0.7626 0.2911 0.5252
6 Te 0.2373 0.7089 0.9716
7 Te 0.2374 0.7089 0.4748
8 Th 0.5000 0.5000 0.0000
9 Th 0.5000 0.5000 0.5000
10 K 0.5000 0.0000 0.5000
11 Th 0.0000 0.5000 0.5000
12 Cd 0.0000 0.5000 0.0000
13 Te 0.2606 0.2819 0.5213
14 K 0.0000 0.0000 0.5000
15 Te 0.2658 0.2911 0.0284
16 Te 0.7627 0.2911 0.0284

Results
density of states at the Fermi level: 0.544 states/eV per atom
space group: R-3m, No. 166
crystal system: trigonal
VASP energy: -69.990 eV for the cell shown
M_tot: 0.0 μB/f.u.

***

(9)
A relaxed structure of Tb2Pr2Sb3, computed with PBE.

abc: 8.1500 8.1500 8.1500
angles: 109.47 109.47 109.47
Element x y z (fractional)
1 Pr 0.0000 0.0000 0.3517
2 Sb 0.6170 0.7500 0.8670
3 Tb 0.3623 0.5000 0.0000
4 Sb 0.7500 0.6330 0.3830
5 Tb 0.0000 0.0000 0.8623
6 Sb 0.8830 0.2500 0.6330
7 Tb 0.5000 0.8623 0.5000
8 Pr 0.6483 0.1483 0.1483
9 Sb 0.1330 0.3830 0.2500
10 Pr 0.5000 0.3517 0.5000
11 Sb 0.2500 0.8670 0.1170
12 Sb 0.3670 0.1170 0.7500
13 Pr 0.8517 0.5000 0.0000
14 Tb 0.1377 0.6377 0.6377

Results
density of states at the Fermi level: 0.999 states/eV per atom
space group: I2_13, No. 199
crystal system: cubic
VASP energy: -76.761 eV for the cell shown
M_tot: 0.0 μB/f.u.

***

(10)
A relaxed structure of Ti5InOs4, computed with PBE.

abc: 3.0932 3.0932 16.3665
angles: 90.00 90.00 90.00
Element x y z (fractional)
1 Ti 0.5000 0.5000 0.3113
2 Os 0.0000 0.0000 0.2161
3 In 0.0000 0.0000 0.0000
4 Ti 0.5000 0.5000 0.5000
5 Os 0.0000 0.0000 0.5942
6 Os 0.0000 0.0000 0.4058
7 Ti 0.5000 0.5000 0.1241
8 Os 0.0000 0.0000 0.7839
9 Ti 0.5000 0.5000 0.6887
10 Ti 0.5000 0.5000 0.8759

Results
density of states at the Fermi level: 0.381 states/eV per atom
space group: P4/mmm, No. 123
crystal system: tetragonal
formation energy: -550 kJ/mol of formula units
M_tot: 0.0 μB/f.u.

***

(11)
A relaxed structure of Fe5Co, computed with PBE.

abc: 2.8363 2.8363 8.5988
angles: 90.00 90.00 90.00
Each line ends with the local moment (μB).
Element x y z (fractional)
1 Fe 0.5000 0.5000 0.8349  2.62
2 Fe 0.5000 0.5000 0.1651  2.62
3 Fe 0.5000 0.5000 0.5000  2.35
4 Co 0.0000 0.0000 0.0000  1.72
5 Fe 0.0000 0.0000 0.3337  2.40
6 Fe 0.0000 0.0000 0.6663  2.40

Results
density of states at the Fermi level: 0.562 states/eV per atom
space group: P4/mmm, No. 123
crystal system: tetragonal
formation energy: -15 kJ/mol of formula units
M_tot: 14.0 μB/f.u.

***

(12)
A relaxed structure of Li2CoOs, computed with PBE.

abc: 2.5732 2.5732 9.0262
angles: 90.00 90.00 118.14
Each line ends with the local moment (μB).
Element x y z (fractional)
1 Li 0.0000 0.0000 0.5055  -0.03
2 Os 0.5000 0.5000 0.2500  0.00
3 Co 0.5000 0.5000 0.7500  1.66
4 Li 0.0000 0.0000 0.9945  -0.03

Results
density of states at the Fermi level: 0.719 states/eV per atom
space group: Cmmm, No. 65
crystal system: orthorhombic
offset from the most stable computed form: 76 meV per atom
formation energy: 78 kJ/mol of formula units
M_tot: 1.5 μB/f.u.

***

(13)
A relaxed structure of AcPaI, computed with PBE.

abc: 6.4388 3.8203 26.9703
angles: 123.81 145.62 83.48
Element x y z (fractional)
1 Ac 0.6654 0.2168 0.2834
2 Pa 0.4528 0.9555 0.6033
3 Ac 0.3346 0.7832 0.7166
4 I 0.4717 0.4718 0.9142
5 I 0.5283 0.5282 0.0858
6 Pa 0.5472 0.0445 0.3967

Results
density of states at the Fermi level: 1.621 states/eV per atom
space group: P-1, No. 2
crystal system: triclinic
VASP energy: -31.556 eV for the cell shown
M_tot: 0.0 μB/f.u.

***

(14)
A relaxed structure of RbNa3Cd, computed with PBE.

abc: 5.2142 8.8152 9.5121
angles: 73.99 90.03 90.00
Element x y z (fractional)
1 Na 0.3809 0.9822 0.3013
2 Cd 0.3816 0.8188 0.6562
3 Na 0.3802 0.4399 0.7679
4 Na 0.8801 0.2357 0.0367
5 Rb 0.3813 0.5213 0.2290
6 Na 0.3811 0.9781 0.9305
7 Na 0.8810 0.6933 0.5043
8 Rb 0.8812 0.1532 0.5780
9 Na 0.8810 0.6953 0.8764
10 Cd 0.8817 0.8561 0.1498

Results
density of states at the Fermi level: 0.575 states/eV per atom
space group: P1, No. 1
crystal system: triclinic
offset from the most stable computed form: 0 meV per atom
formation energy: -7 kJ/mol of formula units
M_tot: 0.0 μB/f.u.

***

(15)
A relaxed structure of TbGaRh4, computed with PBE.

abc: 5.2351 5.2351 5.2351
angles: 60.00 60.00 60.00
Element x y z (fractional)
1 Rh 0.1226 0.6258 0.6258
2 Rh 0.6258 0.1226 0.6258
3 Tb 0.2500 0.2500 0.2500
4 Rh 0.6258 0.6258 0.6258
5 Rh 0.6258 0.6258 0.1226
6 Ga 0.0000 0.0000 0.0000

Results
density of states at the Fermi level: 1.198 states/eV per atom
space group: F-43m, No. 216
crystal system: cubic
offset from the most stable computed form: 63 meV per atom
formation energy: -255 kJ/mol of formula units
M_tot: 0.0 μB/f.u.

***

(16)
A relaxed structure of In2GaAu4, computed with PBE.

abc: 4.6750 4.6750 8.2981
angles: 73.64 73.64 60.00
Element x y z (fractional)
1 In 0.7625 0.7625 0.7124
2 Ga 0.0000 0.0000 0.0000
3 Au 0.1173 0.1173 0.6482
4 In 0.2375 0.2375 0.2876
5 Au 0.6295 0.6295 0.1114
6 Au 0.3705 0.3705 0.8886
7 Au 0.8827 0.8827 0.3518

Results
density of states at the Fermi level: 0.209 states/eV per atom
space group: R-3m, No. 166
crystal system: trigonal
offset from the most stable computed form: 30 meV per atom
formation energy: -55 kJ/mol of formula units
M_tot: 0.0 μB/f.u.

***

(17)
A relaxed structure of Cs2MgTeCl6, computed with PBE.

abc: 7.9676 7.9676 7.7122
angles: 58.90 58.90 90.00
Each line ends with the local moment (μB).
Element x y z (fractional)
1 Cs 0.7500 0.2500 0.5000  0.00
2 Cl 0.7186 0.7186 0.0000  0.08
3 Cl 0.7589 0.7589 0.4822  0.04
4 Cl 0.2411 0.2411 0.5178  0.04
5 Cs 0.2500 0.7500 0.5000  0.00
6 Te 0.0000 0.0000 0.0000  0.85
7 Cl 0.2814 0.7186 0.0000  0.08
8 Mg 0.5000 0.5000 0.0000  0.02
9 Cl 0.7186 0.2814 0.0000  0.08
10 Cl 0.2814 0.2814 0.0000  0.08

Results
density of states at the Fermi level: 0.000 states/eV per atom
space group: I4/mmm, No. 139
crystal system: tetragonal
VASP energy: -31.314 eV for the cell shown
M_tot: 2.0 μB/f.u.

***

(18)
A relaxed structure of Ca3Pd2Pb4, computed with PBE.

abc: 4.6578 6.9939 8.0070
angles: 98.69 106.91 90.00
Element x y z (fractional)
1 Ca 0.0000 0.0000 0.0000
2 Pb 0.4526 0.6837 0.9052
3 Pd 0.6204 0.9453 0.2408
4 Pd 0.3796 0.0547 0.7592
5 Ca 0.8552 0.3677 0.7104
6 Pb 0.5474 0.3163 0.0948
7 Pb 0.2084 0.1593 0.4168
8 Ca 0.1448 0.6323 0.2896
9 Pb 0.7916 0.8407 0.5832

Results
density of states at the Fermi level: 0.663 states/eV per atom
space group: C2/m, No. 12
crystal system: monoclinic
offset from the most stable computed form: 53 meV per atom
formation energy: -390 kJ/mol of formula units
M_tot: 0.0 μB/f.u.

***

(19)
A relaxed structure of K2LiPdO4, computed with PBE.

abc: 5.1525 6.7740 9.4002
angles: 84.02 74.09 67.65
Each line ends with the local moment (μB).
Element x y z (fractional)
1 K 0.8252 0.0000 0.3495  0.00
2 O 0.5719 0.2940 0.5662  0.28
3 Li 0.7500 0.5000 0.5000  0.01
4 O 0.8618 0.7060 0.5662  0.28
5 O 0.1341 0.2940 0.4338  0.28
6 O 0.6159 0.2060 0.0662  0.28
7 K 0.5752 0.5000 0.8495  0.00
8 Pd 0.5000 0.0000 0.0000  0.70
9 K 0.9248 0.5000 0.1505  0.00
10 O 0.4321 0.7060 0.4338  0.28
11 Li 0.0000 0.0000 0.0000  0.01
12 O 0.1781 0.2060 0.9338  0.28
13 K 0.1748 0.0000 0.6505  0.00
14 O 0.3179 0.7940 0.0662  0.28
15 O 0.8882 0.7940 0.9338  0.28
16 Pd 0.2500 0.5000 0.5000  0.70

Results
density of states at the Fermi level: 0.692 states/eV per atom
space group: Fddd, No. 70
crystal system: orthorhombic
VASP energy: -72.004 eV for the cell shown
M_tot: 2.1 μB/f.u.

***

(20)
A relaxed structure of Li3DyZr2S6, computed with PBE.

abc: 6.4242 6.4242 6.5971
angles: 99.35 99.35 120.00
Element x y z (fractional)
1 S 0.7397 0.7397 0.2529
2 S 0.4289 0.0840 0.2516
3 Dy 0.0000 0.0000 0.0000
4 Li 0.5000 0.5000 0.5000
5 S 0.2603 0.2603 0.7471
6 Zr 0.3334 0.6666 0.0000
7 S 0.0840 0.4289 0.2516
8 S 0.5711 0.9160 0.7484
9 S 0.9160 0.5711 0.7484
10 Li 0.8346 0.1654 0.5000
11 Zr 0.6666 0.3334 0.0000
12 Li 0.1654 0.8346 0.5000

Results
density of states at the Fermi level: 0.333 states/eV per atom
space group: C2/m, No. 12
crystal system: monoclinic
VASP energy: -71.523 eV for the cell shown
M_tot: 0.0 μB/f.u.